Entry 1:
Compound: Tm2UMnC4
Source: Alexandria
Functional: PBE-GGA
Structure: relaxed

## Properties
Space group: No. 63
ΔE_f: -0.032 eV per atom

Unit cell a=3.3922 b=5.9419 c=11.6677 alpha=90.00 beta=90.00 gamma=106.59
Sites, in units of the cell vectors:
Tm (0.3680, 0.7360, 0.5456)
Tm (0.6320, 0.2640, 0.0456)
Tm (0.6320, 0.2640, 0.4544)
Tm (0.3680, 0.7360, 0.9544)
U (0.0960, 0.1919, 0.7500)
U (0.9040, 0.8081, 0.2500)
Mn (0.8337, 0.6674, 0.7500)
Mn (0.1663, 0.3326, 0.2500)
C (0.2741, 0.5482, 0.1385)
C (0.7259, 0.4518, 0.6385)
C (0.7259, 0.4518, 0.8615)
C (0.2741, 0.5482, 0.3615)
C (0.0000, 0.0000, 0.5000)
C (0.0000, 0.0000, 0.0000)
C (0.4267, 0.8534, 0.7500)
C (0.5733, 0.1466, 0.2500)

***

Entry 2:
Compound: HfAsAuSe2
Source: Alexandria
Functional: PBE-GGA
Structure: relaxed

## Properties
Space group: No. 123
ΔE_f (raw): 14.20 kcal/mol of atoms

Unit cell a=4.9973 b=4.9973 c=4.9146 alpha=90.00 beta=90.00 gamma=90.00
Sites, in units of the cell vectors:
Hf (0.5000, 0.5000, 0.5000)
As (0.0000, 0.0000, 0.5000)
Au (0.0000, 0.0000, 0.0000)
Se (0.0000, 0.5000, 0.0000)
Se (0.5000, 0.0000, 0.0000)

***

Entry 3:
Compound: KTe2Ru
Source: Alexandria
Functional: PBE-GGA
Structure: relaxed

## Properties
Space group: No. 44
ΔE_f (raw): -3.75 kcal/mol of atoms

Unit cell a=8.9514 b=8.9514 c=8.9514 alpha=156.23 beta=158.15 gamma=32.51
Sites, in units of the cell vectors:
K (0.4460, 0.4460, 0.0000)
Ru (0.1977, 0.6977, 0.5000)
Te (0.0865, 0.0865, 0.0000)
Te (0.7698, 0.2698, 0.5000)

***

Entry 4:
Compound: AcHo2Ag3
Source: Alexandria
Functional: PBE-GGA
Structure: relaxed

## Properties
Space group: No. 123
ΔE_f: -0.293 eV per atom

Unit cell a=3.7128 b=3.7128 c=11.2829 alpha=90.00 beta=90.00 gamma=90.00
Sites, in units of the cell vectors:
Ac (0.5000, 0.5000, 0.5000)
Ho (0.5000, 0.5000, 0.8431)
Ho (0.5000, 0.5000, 0.1569)
Ag (0.0000, 0.0000, 0.0000)
Ag (0.0000, 0.0000, 0.6975)
Ag (0.0000, 0.0000, 0.3025)

***

What is the formula in the second record? HfAsAuSe2

***

Copy entry 4 word for word.
Compound: AcHo2Ag3
Source: Alexandria
Functional: PBE-GGA
Structure: relaxed

## Properties
Space group: No. 123
ΔE_f: -0.293 eV per atom

Unit cell a=3.7128 b=3.7128 c=11.2829 alpha=90.00 beta=90.00 gamma=90.00
Sites, in units of the cell vectors:
Ac (0.5000, 0.5000, 0.5000)
Ho (0.5000, 0.5000, 0.8431)
Ho (0.5000, 0.5000, 0.1569)
Ag (0.0000, 0.0000, 0.0000)
Ag (0.0000, 0.0000, 0.6975)
Ag (0.0000, 0.0000, 0.3025)